Below is a geometry-optimized PaMnCoS6 structure, with properties calculated at the GGA-PBE level.

Output
The final energy comes out at -56.8 eV for the cell shown. The calculation puts the raw formation energy at -0.697 eV per atom.

a b c (Å): 5.9207 5.9207 5.8125
angles (deg): 90.00 90.00 120.00
Space group P312 (No. 149)
Inequivalent atoms, fractional coordinates:
Pa (0.0000, 0.0000, 0.0000) x1
Mn (0.6667, 0.3333, 0.5000) x1
Co (0.3333, 0.6667, 0.5000) x1
S (0.0078, 0.3616, 0.7195) x6